CsTmHgSe3 after structural relaxation. Source: OQMD, functional PBE.

a = 9.5035 Å, b = 9.5035 Å, c = 9.5809 Å
α = 100.49°, β = 100.49°, γ = 25.67°
Last column: nearest neighbours and their distance in Å.
Fractional positions:
Cs 0.1503 0.1503 0.0605  7 Se 3.46-3.62
Cs 0.8497 0.8497 0.9395  7 Se 3.46-3.62
Tm 0.1696 0.1696 0.5651  6 Se 2.83-3.09
Tm 0.8304 0.8304 0.4349  6 Se 2.83-3.09
Hg 0.4860 0.4860 0.2783  4 Se 2.73-2.97
Hg 0.5140 0.5140 0.7217  4 Se 2.73-2.97
Se 0.0000 0.0000 0.5000  4 Hg 2.97, 2 Tm 3.09
Se 0.3251 0.3251 0.6303  3 Tm 2.83-2.84
Se 0.3364 0.3364 0.2404  1 Hg 2.73, 2 Tm 2.83
Se 0.5000 0.5000 0.0000  2 Hg 2.73
Se 0.6636 0.6636 0.7596  1 Hg 2.73, 2 Tm 2.83
Se 0.6749 0.6749 0.3697  3 Tm 2.83-2.84


NaScSnPd after structural relaxation. Source: OQMD, functional PBE.

E above lowest polymorph = 0.000 eV per atom

a = 4.7568 Å, b = 4.7568 Å, c = 4.7568 Å
α = 60.00°, β = 60.00°, γ = 60.00°
Last column: nearest neighbours and their distance in Å.
Fractional positions:
Na 0.0000 0.0000 0.0000  4 Sc 2.91, 4 Sn 2.91
Sc 0.7500 0.7500 0.7500  4 Na 2.91, 4 Pd 2.91
Sn 0.2500 0.2500 0.2500  4 Na 2.91, 4 Pd 2.91
Pd 0.5000 0.5000 0.5000  4 Sn 2.91, 4 Sc 2.91


What E values result from the calculations? In sequence: -0.2782 -0.3469 Ry per atom.